# 1
LaAl3Ru | Alexandria | SCAN | single point on PBEsol structure; density = 5.20 g cm⁻³; size of the total moment = 0.01 μB per formula unit; DFT formation energy = -628 meV/atom; space group = No. 221
1.0
4.681 0.000 0.000
0.000 4.681 0.000
0.000 0.000 4.681
Al La Ru
3 1 1
direct
0.500 0.000 0.000
0.000 0.500 0.000
0.000 0.000 0.500
0.500 0.500 0.500
0.000 0.000 0.000


# 2
LaAl10Ru2 | Alexandria | SCAN | single point on PBEsol structure; density = 4.76 g cm⁻³; size of the total moment = 0.00 μB per formula unit; DFT formation energy = -597 meV/atom; space group = No. 63
1.0
6.854 -0.003 0.000
-0.823 6.804 0.000
0.000 0.000 9.145
Ru Al La
4 20 2
direct
0.000 0.500 0.000
0.500 0.000 0.000
0.500 0.000 0.500
0.000 0.500 0.500
0.228 0.228 0.500
0.622 0.378 0.552
0.228 0.228 0.000
0.779 0.519 0.250
0.378 0.622 0.448
0.163 0.837 0.602
0.378 0.622 0.052
0.622 0.378 0.948
0.410 0.138 0.750
0.163 0.837 0.898
0.772 0.772 0.500
0.837 0.163 0.398
0.772 0.772 0.000
0.590 0.862 0.250
0.837 0.163 0.102
0.481 0.221 0.250
0.862 0.590 0.750
0.519 0.779 0.750
0.221 0.481 0.750
0.138 0.410 0.250
0.123 0.877 0.250
0.877 0.123 0.750


# 3
LaAl2Ru | Alexandria | SCAN | single point on PBEsol structure; density = 6.64 g cm⁻³; size of the total moment = 0.00 μB per formula unit; DFT formation energy = -611 meV/atom; space group = No. 123
1.0
-2.050 1.628 1.680
-2.339 -1.393 -1.504
-0.084 -5.507 5.232
Ru La Al
1 1 2
direct
0.500 0.500 0.500
0.500 0.500 0.000
0.000 0.000 0.323
0.000 0.000 0.677


# 4
LaAl2Ru | Alexandria | SCAN | single point on PBEsol structure; density = 6.60 g cm⁻³; size of the total moment = 0.00 μB per formula unit; DFT formation energy = -201 meV/atom; space group = No. 139
1.0
-3.081 -3.245 -0.965
3.636 0.680 -3.040
3.340 -3.126 -0.151
Al Ru La
2 1 1
direct
0.750 0.500 0.750
0.250 0.500 0.250
0.000 0.000 0.000
0.500 0.000 0.500


# 5
LaAlRu3 | Alexandria | SCAN | single point on PBEsol structure; density = 7.44 g cm⁻³; size of the total moment = 2.61 μB per formula unit; DFT formation energy = 1852 meV/atom; space group = No. 221
1.0
4.713 0.000 0.000
0.000 4.713 0.000
0.000 0.000 4.713
Ru Al La
3 1 1
direct
0.000 0.000 0.500
0.500 0.000 0.000
0.000 0.500 0.000
0.500 0.500 0.500
0.000 0.000 0.000


# 6
La2Al2S | Alexandria | SCAN | single point on PBEsol structure; density = 4.25 g cm⁻³; size of the total moment = 0.00 μB per formula unit; raw formation energy = -15.87 kcal/mol of atoms; space group = No. 127
1.0
-0.750 -3.924 -2.904
7.459 -1.380 -0.062
-0.762 -4.395 6.135
La S Al
4 2 4
direct
0.000 0.328 0.828
0.000 0.828 0.672
0.000 0.672 0.172
0.000 0.172 0.328
0.000 0.000 0.000
0.000 0.500 0.500
0.500 0.625 0.875
0.500 0.125 0.625
0.500 0.875 0.375
0.500 0.375 0.125


# 7
LaAlS3 | Alexandria | SCAN | single point on PBEsol structure; density = 2.73 g cm⁻³; size of the total moment = 2.02 μB per formula unit; raw formation energy = -6.94 kcal/mol of atoms; space group = No. 221
1.0
5.425 0.000 0.000
0.000 5.425 0.000
0.000 0.000 5.425
S La Al
3 1 1
direct
0.000 0.000 0.500
0.500 0.000 0.000
0.000 0.500 0.000
0.000 0.000 0.000
0.500 0.500 0.500


# 8
La2AlS | Alexandria | SCAN | single point on PBEsol structure; density = 3.79 g cm⁻³; size of the total moment = 0.00 μB per formula unit; raw formation energy = -16.00 kcal/mol of atoms; space group = No. 122
1.0
6.510 0.000 0.000
0.000 6.510 0.000
-3.255 -3.255 6.969
S La Al
2 4 2
direct
0.000 0.000 0.000
0.250 0.750 0.500
0.625 0.662 0.750
0.912 0.375 0.250
0.125 0.088 0.750
0.338 0.875 0.250
0.500 0.500 0.000
0.750 0.250 0.500


# 9
LaAl3S | Alexandria | SCAN | single point on PBEsol structure; density = 2.32 g cm⁻³; size of the total moment = 0.00 μB per formula unit; raw formation energy = 35.58 kcal/mol of atoms; space group = No. 221
1.0
-3.782 3.643 2.084
-4.046 -3.910 -0.508
1.114 -1.832 5.226
S La Al
1 1 3
direct
0.500 0.500 0.500
0.000 0.000 0.000
0.000 0.500 0.000
0.000 0.000 0.500
0.500 0.000 0.000


# 10
La9Al5S21 | Alexandria | SCAN | single point on PBEsol structure; density = 4.35 g cm⁻³; size of the total moment = 0.00 μB per formula unit; raw formation energy = -48.63 kcal/mol of atoms; space group = No. 146
1.0
-0.064 5.439 -10.361
9.628 -6.360 -1.948
-7.665 -8.357 -2.890
La Al S
18 10 42
direct
0.118 0.882 0.747
0.455 0.220 0.076
0.220 0.076 0.455
0.582 0.209 0.441
0.550 0.782 0.928
0.928 0.550 0.782
0.747 0.118 0.882
0.878 0.109 0.248
0.773 0.551 0.404
0.209 0.441 0.582
0.441 0.582 0.209
0.782 0.928 0.550
0.076 0.455 0.220
0.248 0.878 0.109
0.551 0.404 0.773
0.404 0.773 0.551
0.109 0.248 0.878
0.882 0.747 0.118
0.551 0.885 0.227
0.852 0.852 0.852
0.050 0.721 0.390
0.349 0.349 0.349
0.227 0.551 0.885
0.885 0.227 0.551
0.721 0.390 0.050
0.668 0.668 0.668
0.390 0.050 0.721
0.165 0.165 0.165
0.278 0.362 0.142
0.083 0.993 0.227
0.479 0.618 0.714
0.307 0.544 0.396
0.967 0.073 0.482
0.176 0.843 0.514
0.026 0.788 0.939
0.714 0.479 0.618
0.883 0.747 0.662
0.545 0.449 0.018
0.142 0.278 0.362
0.993 0.227 0.083
0.362 0.876 0.783
0.514 0.176 0.843
0.618 0.714 0.479
0.544 0.396 0.307
0.011 0.344 0.677
0.939 0.026 0.788
0.108 0.698 0.212
0.788 0.939 0.026
0.212 0.108 0.698
0.677 0.011 0.344
0.783 0.362 0.876
0.843 0.514 0.176
0.633 0.728 0.160
0.747 0.662 0.883
0.482 0.967 0.073
0.396 0.307 0.544
0.160 0.633 0.728
0.302 0.393 0.814
0.728 0.160 0.633
0.227 0.083 0.993
0.449 0.018 0.545
0.662 0.883 0.747
0.073 0.482 0.967
0.814 0.302 0.393
0.344 0.677 0.011
0.362 0.142 0.278
0.698 0.212 0.108
0.876 0.783 0.362
0.393 0.814 0.302
0.018 0.545 0.449


# 11
LaAl3S | Alexandria | SCAN | single point on PBEsol structure; density = 3.73 g cm⁻³; size of the total moment = 0.00 μB per formula unit; raw formation energy = 0.68 kcal/mol of atoms; space group = No. 221
1.0
4.824 0.000 0.000
0.000 4.824 0.000
0.000 0.000 4.824
La Al S
1 3 1
direct
0.500 0.500 0.500
0.000 0.000 0.500
0.500 0.000 0.000
0.000 0.500 0.000
0.000 0.000 0.000


# 12
SrLaAl2S | Alexandria | SCAN | single point on PBEsol structure; density = 3.88 g cm⁻³; size of the total moment = 0.00 μB per formula unit; raw formation energy = -4.30 kcal/mol of atoms; space group = No. 123
1.0
-1.780 -1.925 -4.286
4.404 -2.281 -0.804
-1.728 -4.264 2.633
Al La Sr S
2 1 1 1
direct
0.500 0.000 0.000
0.000 0.500 0.000
0.500 0.500 0.500
0.000 0.000 0.500
0.000 0.000 0.000


# 13
La3AlVS7 | Alexandria | SCAN | single point on PBEsol structure; density = 4.58 g cm⁻³; size of the total moment = 3.00 μB per formula unit; raw formation energy = -48.16 kcal/mol of atoms; space group = No. 173
1.0
5.965 0.000 0.000
0.000 10.050 0.000
0.000 -5.025 8.704
La Al S V
6 2 14 2
direct
0.279 0.229 0.374
0.279 0.626 0.855
0.279 0.145 0.771
0.779 0.374 0.145
0.779 0.771 0.626
0.779 0.855 0.229
0.858 0.333 0.667
0.358 0.667 0.333
0.721 0.088 0.864
0.488 0.333 0.667
0.721 0.136 0.224
0.501 0.578 0.097
0.721 0.776 0.912
0.988 0.667 0.333
0.221 0.912 0.136
0.501 0.903 0.482
0.001 0.097 0.518
0.221 0.224 0.088
0.221 0.864 0.776
0.001 0.482 0.578
0.501 0.518 0.422
0.001 0.422 0.903
0.471 0.000 0.000
0.971 0.000 0.000


# 14
La3AlZnS7 | Alexandria | SCAN | single point on PBEsol structure; density = 4.57 g cm⁻³; size of the total moment = 0.00 μB per formula unit; raw formation energy = -46.29 kcal/mol of atoms; space group = No. 173
1.0
-2.177 -0.908 5.483
-8.462 -3.939 -4.014
7.894 -6.030 2.136
La S Al Zn
6 14 2 2
direct
0.745 0.626 0.863
0.245 0.863 0.237
0.245 0.374 0.137
0.745 0.237 0.374
0.745 0.137 0.763
0.245 0.763 0.626
0.725 0.252 0.093
0.475 0.418 0.900
0.225 0.748 0.907
0.975 0.518 0.418
0.975 0.582 0.100
0.975 0.900 0.482
0.456 0.667 0.333
0.475 0.100 0.518
0.225 0.159 0.252
0.725 0.907 0.159
0.475 0.482 0.582
0.225 0.093 0.841
0.725 0.841 0.748
0.956 0.333 0.667
0.328 0.333 0.667
0.828 0.667 0.333
0.699 0.000 0.000
0.199 0.000 0.000


# 15
LaAl2Sb | Alexandria | SCAN | single point on PBEsol structure; density = 4.90 g cm⁻³; size of the total moment = 0.11 μB per formula unit; raw formation energy = -4.91 kcal/mol of atoms; space group = No. 12
1.0
-4.280 -0.431 0.761
0.773 -3.992 1.645
2.431 4.429 3.860
Sb Al La
1 2 1
direct
0.000 0.000 0.000
0.000 0.000 0.500
0.500 0.500 0.500
0.500 0.500 0.000


# 16
LaAl2Sb2 | Alexandria | SCAN | single point on PBEsol structure; density = 5.88 g cm⁻³; size of the total moment = 0.00 μB per formula unit; raw formation energy = -4.84 kcal/mol of atoms; space group = No. 127
1.0
3.807 0.000 0.000
0.000 8.046 0.000
0.000 0.000 8.046
Al Sb La
4 4 2
direct
0.500 0.850 0.350
0.500 0.650 0.850
0.500 0.150 0.650
0.500 0.350 0.150
0.000 0.860 0.640
0.000 0.360 0.860
0.000 0.640 0.140
0.000 0.140 0.360
0.000 0.500 0.500
0.000 0.000 0.000


# 17
LaAl2Sb2 | Alexandria | SCAN | single point on PBEsol structure; density = 6.14 g cm⁻³; size of the total moment = 0.00 μB per formula unit; raw formation energy = -7.53 kcal/mol of atoms; space group = No. 127
1.0
-2.121 -1.431 -2.892
-2.958 -5.387 4.836
-5.827 4.872 1.863
Sb Al La
4 4 2
direct
0.500 0.826 0.326
0.500 0.674 0.826
0.500 0.326 0.174
0.500 0.174 0.674
0.000 0.881 0.619
0.000 0.381 0.881
0.000 0.119 0.381
0.000 0.619 0.119
0.000 0.000 0.000
0.000 0.500 0.500


# 18
LaScAl2 | Alexandria | SCAN | single point on PBEsol structure; density = 4.39 g cm⁻³; size of the total moment = 0.11 μB per formula unit; DFT formation energy = -418 meV/atom; space group = No. 47
1.0
-2.302 1.278 -1.830
0.128 -3.257 -2.436
-4.795 -3.087 3.876
Al La Sc
2 1 1
direct
0.000 0.000 0.796
0.000 0.000 0.204
0.500 0.500 0.500
0.500 0.500 0.000


# 19
LaSc2Al2 | Alexandria | SCAN | single point on PBEsol structure; density = 4.22 g cm⁻³; size of the total moment = 0.07 μB per formula unit; DFT formation energy = -341 meV/atom; space group = No. 127
1.0
-1.957 -1.270 -2.004
-5.277 -1.939 6.380
-3.898 7.498 -0.946
Al Sc La
4 4 2
direct
0.500 0.328 0.172
0.500 0.172 0.672
0.500 0.828 0.328
0.500 0.672 0.828
0.000 0.125 0.375
0.000 0.625 0.125
0.000 0.375 0.875
0.000 0.875 0.625
0.000 0.000 0.000
0.000 0.500 0.500


# 20
La4ScAl | Alexandria | SCAN | single point on PBEsol structure; density = 5.70 g cm⁻³; size of the total moment = 0.02 μB per formula unit; DFT formation energy = 332 meV/atom; space group = No. 216
1.0
-1.783 -6.102 0.405
2.744 -3.843 4.275
-3.310 -2.022 5.053
La Sc Al
4 1 1
direct
0.374 0.374 0.879
0.374 0.879 0.374
0.374 0.374 0.374
0.879 0.374 0.374
0.750 0.750 0.750
0.000 0.000 0.000